[1]
NbGeTeI2 | GGA-PBE | optimized geometry

Calculated values
- Formation energy from raw total energies: 0.42 eV/atom
- VASP energy: -3.77 eV/atom
- E above lowest polymorph: 0.0 kJ/mol of atoms
- Theoretical density: 5.238 g/cm³

```
data_NbGeTeI2
_chemical_formula_sum 'Nb1 Ge1 Te1 I2'
_space_group_name_H-M_alt 'P 1'
_space_group_IT_number 1
_cell_length_a 5.628
_cell_length_b 5.628
_cell_length_c 5.475
_cell_angle_alpha 90.00
_cell_angle_beta 90.00
_cell_angle_gamma 90.00
loop_
_space_group_symop_operation_xyz
'x,y,z'
loop_
_atom_site_label
_atom_site_type_symbol
_atom_site_fract_x
_atom_site_fract_y
_atom_site_fract_z
_atom_site_occupancy
I1 I 0.000 0.500 0.000 1
I2 I 0.500 0.000 0.000 1
Nb1 Nb 0.000 0.000 0.000 1
Te1 Te 0.000 0.000 0.500 1
Ge1 Ge 0.500 0.500 0.500 1
```

***

[2]
TaI2Br | GGA-PBE | optimized geometry

Calculated values
- Formation energy from raw total energies: -0.40 eV/atom
- VASP energy: -4.55 eV/atom
- E above lowest polymorph: 7.8 kJ/mol of atoms
- Theoretical density: 5.198 g/cm³

```
data_TaI2Br
_chemical_formula_sum 'Ta2 I4 Br2'
_space_group_name_H-M_alt 'P 1'
_space_group_IT_number 1
_cell_length_a 6.910
_cell_length_b 6.911
_cell_length_c 7.909
_cell_angle_alpha 94.40
_cell_angle_beta 92.61
_cell_angle_gamma 118.72
loop_
_space_group_symop_operation_xyz
'x,y,z'
loop_
_atom_site_label
_atom_site_type_symbol
_atom_site_fract_x
_atom_site_fract_y
_atom_site_fract_z
_atom_site_occupancy
I1 I 0.780 0.921 0.168 1
I2 I 0.314 0.305 0.854 1
I3 I 0.109 0.568 0.241 1
I4 I 0.943 0.614 0.784 1
Br1 Br 0.490 0.301 0.316 1
Br2 Br 0.655 0.975 0.705 1
Ta1 Ta 0.698 0.472 0.075 1
Ta2 Ta 0.889 0.247 0.947 1
```

***

[3]
DyRh2C | GGA-PBE | optimized geometry

Calculated values
- VASP energy: -6.97 eV/atom
- Theoretical density: 9.945 g/cm³
- ΔE_f: 165 meV per atom

```
data_DyRh2C
_chemical_formula_sum 'Dy1 Rh2 C1'
_space_group_name_H-M_alt 'P 1'
_space_group_IT_number 1
_cell_length_a 3.658
_cell_length_b 3.658
_cell_length_c 5.873
_cell_angle_alpha 71.86
_cell_angle_beta 71.86
_cell_angle_gamma 60.00
loop_
_space_group_symop_operation_xyz
'x,y,z'
loop_
_atom_site_label
_atom_site_type_symbol
_atom_site_fract_x
_atom_site_fract_y
_atom_site_fract_z
_atom_site_occupancy
C1 C 0.000 0.000 0.000 1
Rh1 Rh 0.712 0.712 0.865 1
Rh2 Rh 0.288 0.288 0.135 1
Dy1 Dy 0.500 0.500 0.500 1
```